Record 1
Crystalline Mg2Si2P at its relaxed geometry, computed with PBE.

The space group is I4/mmm (No. 139) and the conventional cell measures 4.370, 4.370 and 10.486 Å, with angles of 90.00, 90.00 and 90.00 degrees. The inequivalent atoms are Mg at (0.000, 0.500, 0.250), Si at (0.000, 0.000, 0.105) and P at (0.000, 0.000, 0.500).

The density of states at the Fermi level comes out at 0.516 states/eV per atom. For the offset from the most stable computed form, the calculation gives 1.71 eV/f.u. As for the calculated density: 2.25 g cm⁻³. For the size of the total moment, the calculation gives 0.0 μB/cell. As for the total DFT energy (no corrections): -3.459 eV per atom.


Record 2
Crystalline Mg3SiP at its relaxed geometry, computed with PBE.

The space group is Pm-3m (No. 221) and the conventional cell measures 4.820, 4.820 and 4.820 Å, with angles of 90.00, 90.00 and 90.00 degrees. The inequivalent atoms are Mg at (0.000, 0.000, 0.500), Si at (0.500, 0.500, 0.500) and P at (0.000, 0.000, 0.000).

The density of states at the Fermi level comes out at 1.027 states/eV per atom. For the offset from the most stable computed form, the calculation gives 0.00 eV/f.u. As for the calculated density: 1.96 g cm⁻³. For the size of the total moment, the calculation gives 0.0 μB/cell. As for the total DFT energy (no corrections): -3.038 eV per atom.


Record 3
Crystalline MgSiP2 at its relaxed geometry, computed with PBE.

The space group is Cm (No. 8) and the conventional cell measures 9.788, 3.730 and 4.028 Å, with angles of 90.00, 99.78 and 90.00 degrees. The inequivalent atoms are Mg at (0.000, 0.000, 0.000), Si at (0.249, 0.000, 0.764), P at (0.079, 0.500, 0.490) and P at (0.302, 0.500, 0.436).

The density of states at the Fermi level comes out at 0.096 states/eV per atom. For the offset from the most stable computed form, the calculation gives 1.86 eV/f.u. As for the calculated density: 2.62 g cm⁻³. For the size of the total moment, the calculation gives 0.0 μB/cell. As for the total DFT energy (no corrections): -4.417 eV per atom.


Record 4
Crystalline Mg2Si2P at its relaxed geometry, computed with PBE.

The space group is P4/mbm (No. 127) and the conventional cell measures 6.475, 6.475 and 4.197 Å, with angles of 90.00, 90.00 and 90.00 degrees. The inequivalent atoms are Mg at (0.174, 0.326, 0.000), Si at (0.129, 0.629, 0.500) and P at (0.000, 0.000, 0.500).

The density of states at the Fermi level comes out at 0.408 states/eV per atom. For the offset from the most stable computed form, the calculation gives 0.00 eV/f.u. As for the calculated density: 2.56 g cm⁻³. For the size of the total moment, the calculation gives 0.0 μB/cell. As for the total DFT energy (no corrections): -3.802 eV per atom.


Record 5
Crystalline MgSiP2 at its relaxed geometry, computed with PBE.

The space group is Pmmm (No. 47) and the conventional cell measures 2.770, 3.427 and 6.878 Å, with angles of 90.00, 90.00 and 90.00 degrees. The inequivalent atoms are Mg at (0.000, 0.000, 0.000), Si at (0.500, 0.000, 0.500) and P at (0.500, 0.500, 0.251).

The density of states at the Fermi level comes out at 0.339 states/eV per atom. For the offset from the most stable computed form, the calculation gives 1.67 eV/f.u. As for the calculated density: 2.91 g cm⁻³. For the size of the total moment, the calculation gives 0.0 μB/cell. As for the total DFT energy (no corrections): -4.464 eV per atom.


Record 6
Crystalline MgSiP2 at its relaxed geometry, computed with PBE.

The space group is Pmm2 (No. 25) and the conventional cell measures 2.828, 4.129 and 6.442 Å, with angles of 90.00, 90.00 and 90.00 degrees. The inequivalent atoms are Mg at (0.000, 0.000, 0.000), Si at (0.500, 0.500, 0.492), P at (0.500, 0.000, 0.650) and P at (0.500, 0.500, 0.143).

The density of states at the Fermi level comes out at 0.176 states/eV per atom. For the offset from the most stable computed form, the calculation gives 1.31 eV/f.u. As for the calculated density: 2.52 g cm⁻³. For the size of the total moment, the calculation gives 0.0 μB/cell. As for the total DFT energy (no corrections): -4.554 eV per atom.


Record 7
Crystalline MgSiP2 at its relaxed geometry, computed with PBE.

The space group is P4/mmm (No. 123) and the conventional cell measures 3.368, 3.368 and 5.623 Å, with angles of 90.00, 90.00 and 90.00 degrees. The inequivalent atoms are Mg at (0.000, 0.000, 0.000), Si at (0.000, 0.000, 0.500) and P at (0.500, 0.500, 0.282).

The density of states at the Fermi level comes out at 0.518 states/eV per atom. For the offset from the most stable computed form, the calculation gives 2.57 eV/f.u. As for the calculated density: 2.98 g cm⁻³. For the size of the total moment, the calculation gives 0.0 μB/cell. As for the total DFT energy (no corrections): -4.239 eV per atom.


Record 8
Crystalline MgSiP2 at its relaxed geometry, computed with PBE.

The space group is Imm2 (No. 44) and the conventional cell measures 3.185, 4.546 and 8.720 Å, with angles of 90.00, 90.00 and 90.00 degrees. The inequivalent atoms are Mg at (0.000, 0.000, 0.000), Si at (0.000, 0.500, 0.215), P at (0.000, 0.000, 0.496) and P at (0.000, 0.500, 0.789).

The density of states at the Fermi level comes out at 0.302 states/eV per atom. For the offset from the most stable computed form, the calculation gives 2.25 eV/f.u. As for the calculated density: 3.01 g cm⁻³. For the size of the total moment, the calculation gives 0.0 μB/cell. As for the total DFT energy (no corrections): -4.321 eV per atom.


Record 9
Crystalline MgSiP at its relaxed geometry, computed with PBE.

The space group is P4/nmm (No. 129, origin choice 2) and the conventional cell measures 3.668, 3.668 and 8.112 Å, with angles of 90.00, 90.00 and 90.00 degrees. The inequivalent atoms are Mg at (0.250, 0.250, 0.150), Si at (0.250, 0.250, 0.538) and P at (0.250, 0.250, 0.814).

The density of states at the Fermi level comes out at 0.302 states/eV per atom. For the offset from the most stable computed form, the calculation gives 0.10 eV/f.u. As for the calculated density: 2.54 g cm⁻³. For the size of the total moment, the calculation gives 0.0 μB/cell. As for the total DFT energy (no corrections): -4.390 eV per atom.


Record 10
Crystalline MgSiP at its relaxed geometry, computed with PBE.

The space group is P1 (No. 1) and the conventional cell measures 4.174, 4.200 and 8.438 Å, with angles of 89.46, 90.00 and 60.23 degrees. The inequivalent atoms are Mg at (0.000, 0.000, 0.000), Mg at (0.313, 0.370, 0.741), Si at (0.089, 0.023, 0.414), Si at (0.423, 0.356, 0.327), P at (0.331, 0.334, 0.063) and P at (0.978, 0.036, 0.678).

The density of states at the Fermi level comes out at 0.037 states/eV per atom. For the offset from the most stable computed form, the calculation gives 0.04 eV/f.u. As for the calculated density: 2.16 g cm⁻³. For the size of the total moment, the calculation gives 0.0 μB/cell. As for the total DFT energy (no corrections): -4.412 eV per atom.


Record 11
Crystalline MgSiP at its relaxed geometry, computed with PBE.

The space group is Pnma (No. 62) and the conventional cell measures 6.354, 3.504 and 10.078 Å, with angles of 90.00, 90.00 and 90.00 degrees. The inequivalent atoms are Mg at (0.100, 0.250, 0.150), Si at (0.033, 0.750, 0.363) and P at (0.224, 0.250, 0.470).

The density of states at the Fermi level comes out at 0.196 states/eV per atom. For the offset from the most stable computed form, the calculation gives 0.58 eV/f.u. As for the calculated density: 2.47 g cm⁻³. For the size of the total moment, the calculation gives 0.0 μB/cell. As for the total DFT energy (no corrections): -4.229 eV per atom.


Record 12
Crystalline MgSiP at its relaxed geometry, computed with PBE.

The space group is C2 (No. 5) and the conventional cell measures 7.282, 4.199 and 8.842 Å, with angles of 90.00, 105.95 and 90.00 degrees. The inequivalent atoms are Mg at (0.123, 0.000, 0.370), Si at (0.181, 0.507, 0.043) and P at (0.231, 0.000, 0.691).

The density of states at the Fermi level comes out at 0.098 states/eV per atom. For the offset from the most stable computed form, the calculation gives 0.00 eV/f.u. As for the calculated density: 2.13 g cm⁻³. For the size of the total moment, the calculation gives 0.0 μB/cell. As for the total DFT energy (no corrections): -4.424 eV per atom.


Record 13
Crystalline MgSiP at its relaxed geometry, computed with PBE.

The space group is F-43m (No. 216) and the conventional cell measures 6.211, 6.211 and 6.211 Å, with angles of 90.00, 90.00 and 90.00 degrees. The inequivalent atoms are Mg at (0.000, 0.000, 0.000), Si at (0.250, 0.250, 0.750) and P at (0.000, 0.000, 0.500).

The density of states at the Fermi level comes out at 0.649 states/eV per atom. For the offset from the most stable computed form, the calculation gives 1.90 eV/f.u. As for the calculated density: 2.31 g cm⁻³. For the size of the total moment, the calculation gives 0.0 μB/cell. As for the total DFT energy (no corrections): -3.792 eV per atom.


Record 14
Crystalline MgSiP at its relaxed geometry, computed with PBE.

The space group is P1 (No. 1) and the conventional cell measures 3.883, 5.345 and 6.305 Å, with angles of 74.33, 86.92 and 69.17 degrees. The inequivalent atoms are Mg at (0.000, 0.000, 0.000), Mg at (0.234, 0.405, 0.284), Si at (0.131, 0.893, 0.462), Si at (0.726, 0.658, 0.644), P at (0.677, 0.615, 0.010) and P at (0.732, 0.244, 0.598).

The density of states at the Fermi level comes out at 0.035 states/eV per atom. For the offset from the most stable computed form, the calculation gives 0.27 eV/f.u. As for the calculated density: 2.35 g cm⁻³. For the size of the total moment, the calculation gives 0.0 μB/cell. As for the total DFT energy (no corrections): -4.335 eV per atom.